(1)
# Hg2IrW, optimized geometry, DFT GGA-PBE
data_Hg2IrW
_chemical_formula_sum 'Hg2 Ir1 W1'
_symmetry_space_group_name_H-M 'P 1'
_symmetry_Int_Tables_number 1
_symmetry_space_group_name_Hall 'P 1'
_cell_length_a 2.9356
_cell_length_b 4.3718
_cell_length_c 5.5875
_cell_angle_alpha 90.00
_cell_angle_beta 90.00
_cell_angle_gamma 90.00
loop_
_atom_site_label
_atom_site_fract_x
_atom_site_fract_y
_atom_site_fract_z
W1 0.5000 0.5000 0.7500
Ir1 0.5000 0.5000 0.2500
Hg1 0.0000 0.0000 0.0008
Hg2 0.0000 0.0000 0.4992
# **Crystal system**: orthorhombic
# **E above lowest polymorph**: 601 meV per atom
# **Calculated volume**: 72 Å³ per cell


(2)
# Hg2IrW, optimized geometry, DFT GGA-PBE
data_Hg2IrW
_chemical_formula_sum 'Hg2 Ir1 W1'
_symmetry_space_group_name_H-M 'P 1'
_symmetry_Int_Tables_number 1
_symmetry_space_group_name_Hall 'P 1'
_cell_length_a 4.6491
_cell_length_b 4.6491
_cell_length_c 4.6491
_cell_angle_alpha 60.00
_cell_angle_beta 60.00
_cell_angle_gamma 60.00
loop_
_atom_site_label
_atom_site_fract_x
_atom_site_fract_y
_atom_site_fract_z
W1 0.0000 0.0000 0.0000
Hg1 0.7500 0.7500 0.7500
Hg2 0.2500 0.2500 0.2500
Ir1 0.5000 0.5000 0.5000
# **Crystal system**: cubic
# **E above lowest polymorph**: 729 meV per atom
# **Calculated volume**: 71 Å³ per cell


(3)
# Hg2IrW, optimized geometry, DFT GGA-PBE
data_Hg2IrW
_chemical_formula_sum 'Hg2 Ir1 W1'
_symmetry_space_group_name_H-M 'P 1'
_symmetry_Int_Tables_number 1
_symmetry_space_group_name_Hall 'P 1'
_cell_length_a 2.8788
_cell_length_b 2.8788
_cell_length_c 8.5862
_cell_angle_alpha 90.00
_cell_angle_beta 90.00
_cell_angle_gamma 90.00
loop_
_atom_site_label
_atom_site_fract_x
_atom_site_fract_y
_atom_site_fract_z
Hg1 0.0000 0.0000 0.4919
W1 0.5000 0.5000 0.7500
Hg2 0.0000 0.0000 0.0081
Ir1 0.5000 0.5000 0.2500
# **Crystal system**: tetragonal
# **E above lowest polymorph**: 567 meV per atom
# **Calculated volume**: 71 Å³ per cell


(4)
# HgIrW4, optimized geometry, DFT GGA-PBE
data_HgIrW4
_chemical_formula_sum 'Hg1 Ir1 W4'
_symmetry_space_group_name_H-M 'P 1'
_symmetry_Int_Tables_number 1
_symmetry_space_group_name_Hall 'P 1'
_cell_length_a 5.2775
_cell_length_b 5.2775
_cell_length_c 5.2775
_cell_angle_alpha 60.00
_cell_angle_beta 60.00
_cell_angle_gamma 60.00
loop_
_atom_site_label
_atom_site_fract_x
_atom_site_fract_y
_atom_site_fract_z
W1 0.3764 0.3764 0.3764
Ir1 0.0000 0.0000 0.0000
W2 0.8707 0.3764 0.3764
W3 0.3764 0.8707 0.3764
W4 0.3764 0.3764 0.8707
Hg1 0.7500 0.7500 0.7500
# **Crystal system**: cubic
# **Calculated volume**: 104 Å³ per cell


(5)
# Hg2IrW, optimized geometry, DFT GGA-PBE
data_Hg2IrW
_chemical_formula_sum 'Hg2 Ir1 W1'
_symmetry_space_group_name_H-M 'P 1'
_symmetry_Int_Tables_number 1
_symmetry_space_group_name_Hall 'P 1'
_cell_length_a 9.4733
_cell_length_b 9.4733
_cell_length_c 9.4733
_cell_angle_alpha 18.05
_cell_angle_beta 18.05
_cell_angle_gamma 18.05
loop_
_atom_site_label
_atom_site_fract_x
_atom_site_fract_y
_atom_site_fract_z
Ir1 0.2500 0.2500 0.2500
W1 0.7500 0.7500 0.7500
Hg1 0.5018 0.5018 0.5018
Hg2 0.9982 0.9982 0.9982
# **Crystal system**: trigonal
# **E above lowest polymorph**: 468 meV per atom
# **Calculated volume**: 71 Å³ per cell


(6)
# Hg2IrW, optimized geometry, DFT GGA-PBE
data_Hg2IrW
_chemical_formula_sum 'Hg2 Ir1 W1'
_symmetry_space_group_name_H-M 'P 1'
_symmetry_Int_Tables_number 1
_symmetry_space_group_name_Hall 'P 1'
_cell_length_a 4.8721
_cell_length_b 4.8721
_cell_length_c 3.0098
_cell_angle_alpha 90.00
_cell_angle_beta 90.00
_cell_angle_gamma 90.00
loop_
_atom_site_label
_atom_site_fract_x
_atom_site_fract_y
_atom_site_fract_z
Hg1 0.0000 0.0000 0.0000
W1 0.0000 0.5000 0.5000
Hg2 0.5000 0.5000 0.0000
Ir1 0.5000 0.0000 0.5000
# **Crystal system**: tetragonal
# **E above lowest polymorph**: 734 meV per atom
# **Calculated volume**: 71 Å³ per cell


(7)
# Hg2IrW, optimized geometry, DFT GGA-PBE
data_Hg2IrW
_chemical_formula_sum 'Hg2 Ir1 W1'
_symmetry_space_group_name_H-M 'P 1'
_symmetry_Int_Tables_number 1
_symmetry_space_group_name_Hall 'P 1'
_cell_length_a 4.9242
_cell_length_b 4.9242
_cell_length_c 4.9242
_cell_angle_alpha 128.38
_cell_angle_beta 128.38
_cell_angle_gamma 76.01
loop_
_atom_site_label
_atom_site_fract_x
_atom_site_fract_y
_atom_site_fract_z
Ir1 0.5000 0.5000 0.0000
Hg1 0.0000 0.0000 0.0000
W1 0.7500 0.2500 0.5000
Hg2 0.2500 0.7500 0.5000
# **Crystal system**: tetragonal
# **E above lowest polymorph**: 533 meV per atom
# **Calculated volume**: 71 Å³ per cell


(8)
# Hg2IrW, optimized geometry, DFT GGA-PBE
data_Hg2IrW
_chemical_formula_sum 'Hg2 Ir1 W1'
_symmetry_space_group_name_H-M 'P 1'
_symmetry_Int_Tables_number 1
_symmetry_space_group_name_Hall 'P 1'
_cell_length_a 5.2817
_cell_length_b 5.2817
_cell_length_c 2.9082
_cell_angle_alpha 90.00
_cell_angle_beta 90.00
_cell_angle_gamma 117.22
loop_
_atom_site_label
_atom_site_fract_x
_atom_site_fract_y
_atom_site_fract_z
Hg1 0.0000 0.0000 0.0000
Hg2 0.5000 0.5000 0.0000
Ir1 0.5000 0.0000 0.5000
W1 0.0000 0.5000 0.5000
# **Crystal system**: orthorhombic
# **E above lowest polymorph**: 599 meV per atom
# **Calculated volume**: 72 Å³ per cell


(9)
# HgIrW3, optimized geometry, DFT GGA-PBE
data_HgIrW3
_chemical_formula_sum 'Hg1 Ir1 W3'
_symmetry_space_group_name_H-M 'P 1'
_symmetry_Int_Tables_number 1
_symmetry_space_group_name_Hall 'P 1'
_cell_length_a 4.7759
_cell_length_b 4.7759
_cell_length_c 4.7759
_cell_angle_alpha 90.00
_cell_angle_beta 90.00
_cell_angle_gamma 90.00
loop_
_atom_site_label
_atom_site_fract_x
_atom_site_fract_y
_atom_site_fract_z
Ir1 0.0000 0.0000 0.0000
W1 0.0000 0.5000 0.0000
W2 0.5000 0.0000 0.0000
W3 0.0000 0.0000 0.5000
Hg1 0.5000 0.5000 0.5000
# **Crystal system**: cubic
# **E above lowest polymorph**: 0 meV per atom
# **Calculated volume**: 109 Å³ per cell


(10)
# Hg2IrW, optimized geometry, DFT GGA-PBE
data_Hg2IrW
_chemical_formula_sum 'Hg2 Ir1 W1'
_symmetry_space_group_name_H-M 'P 1'
_symmetry_Int_Tables_number 1
_symmetry_space_group_name_Hall 'P 1'
_cell_length_a 5.0745
_cell_length_b 5.0745
_cell_length_c 5.0649
_cell_angle_alpha 79.42
_cell_angle_beta 79.42
_cell_angle_gamma 33.70
loop_
_atom_site_label
_atom_site_fract_x
_atom_site_fract_y
_atom_site_fract_z
Ir1 0.7500 0.7500 0.7500
Hg1 0.0010 0.0010 0.9982
Hg2 0.4990 0.4990 0.5018
W1 0.2500 0.2500 0.2500
# **Crystal system**: monoclinic
# **E above lowest polymorph**: 427 meV per atom
# **Calculated volume**: 71 Å³ per cell


(11)
# Hg2IrW, optimized geometry, DFT GGA-PBE
data_Hg2IrW
_chemical_formula_sum 'Hg2 Ir1 W1'
_symmetry_space_group_name_H-M 'P 1'
_symmetry_Int_Tables_number 1
_symmetry_space_group_name_Hall 'P 1'
_cell_length_a 2.9147
_cell_length_b 2.9462
_cell_length_c 8.9174
_cell_angle_alpha 80.15
_cell_angle_beta 90.00
_cell_angle_gamma 90.00
loop_
_atom_site_label
_atom_site_fract_x
_atom_site_fract_y
_atom_site_fract_z
W1 0.5000 0.8278 0.7179
Hg1 0.5000 0.0499 0.2799
Hg2 0.0000 0.1981 0.9696
Ir1 0.0000 0.4242 0.5326
# **Crystal system**: monoclinic
# **E above lowest polymorph**: 0 meV per atom
# **Calculated volume**: 75 Å³ per cell


(12)
# Hg2IrW, optimized geometry, DFT GGA-PBE
data_Hg2IrW
_chemical_formula_sum 'Hg2 Ir1 W1'
_symmetry_space_group_name_H-M 'P 1'
_symmetry_Int_Tables_number 1
_symmetry_space_group_name_Hall 'P 1'
_cell_length_a 2.9091
_cell_length_b 2.9091
_cell_length_c 9.8034
_cell_angle_alpha 90.00
_cell_angle_beta 90.00
_cell_angle_gamma 119.11
loop_
_atom_site_label
_atom_site_fract_x
_atom_site_fract_y
_atom_site_fract_z
Hg1 0.0000 0.0000 0.0062
W1 0.5000 0.5000 0.7500
Hg2 0.0000 0.0000 0.4938
Ir1 0.5000 0.5000 0.2500
# **Crystal system**: orthorhombic
# **E above lowest polymorph**: 514 meV per atom
# **Calculated volume**: 72 Å³ per cell


| no. | VASP energy (eV/atom) | ΔE_f (kcal/mol of atoms) |
| --- | --- | --- |
| 1 | -4.754 | 19.6 |
| 2 | -4.626 | 22.6 |
| 3 | -4.788 | 18.8 |
| 4 | -9.489 | 15.5 |
| 5 | -4.887 | 16.6 |
| 6 | -4.621 | 22.7 |
| 7 | -4.822 | 18.0 |
| 8 | -4.756 | 19.6 |
| 9 | -7.708 | 43.7 |
| 10 | -4.928 | 15.6 |
| 11 | -5.355 | 5.8 |
| 12 | -4.840 | 17.6 |